Entry from OQMD: a relaxed structure of UCoPt (GGA-PBE).

a = 4.275 Å, b = 4.275 Å, c = 4.275 Å
α = 60.00°, β = 60.00°, γ = 60.00°
Atoms (fractional coordinates):
Co 0.000 0.000 0.000
Pt 0.250 0.250 0.250
U 0.750 0.750 0.750

Values from the calculation:
The value obtained for the spin magnetization is 1.16 Bohr magnetons per cell. Its formation energy is -187 meV/atom. For the volume, the calculation gives 18.41 Å³ per atom.